(1)
This record from the Alexandria database describes a relaxed structure of Y6AlCu5. The functional is PBE.

Summary:
volume = 21.62 Å³/atom
density of states at the Fermi level = 0.61 states/eV per atom
calculated formation energy = -3.17 eV per formula unit
spin magnetization = 0.0 μB/cell

The structure in extended XYZ format:
```
12
Lattice="4.9353 0.0000 0.0000 0.0000 7.0682 0.0000 -2.4767 0.0000 7.4373" Properties=species:S:1:pos:R:3 pbc="T T T"
Y 0.0000 1.6998 0.0000
Y 0.0000 5.3684 0.0000
Y -0.0043 1.7534 4.9187
Y -0.0043 5.3148 4.9187
Y 2.4630 1.7534 2.5186
Y 2.4630 5.3148 2.5186
Al 2.4677 3.5341 0.0000
Cu -0.0058 3.5341 2.3069
Cu -0.0086 0.0000 2.4996
Cu 2.4677 0.0000 0.0000
Cu 2.4672 0.0000 4.9377
Cu 2.4644 3.5341 5.1304
```

(2)
This record from the Alexandria database describes a relaxed structure of La2PrGeN. The functional is PBE.

Summary:
volume = 26.10 Å³/atom
density of states at the Fermi level = 0.92 states/eV per atom
E_form (uncorrected) = -0.758 eV/atom
spin magnetization = 0.0 μB/cell

The structure in extended XYZ format:
```
10
Lattice="2.0021 -8.4280 0.0000 2.0021 8.4280 0.0000 0.0000 0.0000 7.7335" Properties=species:S:1:pos:R:3 pbc="T T T"
La 2.0021 5.9988 4.0533
La 2.0021 5.9988 7.5470
La 2.0021 -5.9988 0.1866
La 2.0021 -5.9988 3.6802
Pr 2.0021 0.1411 5.8001
Pr 2.0021 -0.1411 1.9334
Ge 2.0021 3.1838 5.8001
Ge 2.0021 -3.1838 1.9334
N 0.0000 0.0000 0.0000
N 0.0000 0.0000 3.8668
```

Number 1: E_tot -0.4053 Ry per atom. Number 2: E_tot -0.4611 Ry per atom.